DFT (PBE+U) results for a geometry-optimized CoSnO3 structure.

Crystal system: orthorhombic
ρ: 6.55 g cm⁻³
E_tot: -6.129 eV/atom

abc: 5.3993 5.4250 7.8150
angles: 90.00 90.00 90.00
Last column: magnetic moment on the atom in μB.
Fractional coordinates of all 20 atoms:
O 0.8321 0.8348 0.4333  0.07
O 0.4076 0.1255 0.2500  0.07
O 0.3321 0.6652 0.0667  0.07
O 0.1679 0.1652 0.9333  0.07
O 0.0924 0.6255 0.7500  0.07
O 0.6679 0.3348 0.9333  0.07
O 0.3321 0.6652 0.4333  0.07
O 0.8321 0.8348 0.0667  0.07
O 0.1679 0.1652 0.5667  0.07
O 0.9076 0.3745 0.2500  0.07
O 0.5924 0.8745 0.7500  0.07
O 0.6679 0.3348 0.5667  0.07
Co 0.0274 0.0132 0.2500  2.71
Co 0.5274 0.4868 0.2500  2.71
Co 0.9726 0.9868 0.7500  2.71
Co 0.4726 0.5132 0.7500  2.71
Sn 0.5000 0.0000 0.0000  0.01
Sn 0.0000 0.5000 0.0000  0.01
Sn 0.0000 0.5000 0.5000  0.01
Sn 0.5000 0.0000 0.5000  0.01